1.
## Y2TcGe6 (PBE-GGA)

Data for an optimized crystal structure of Y2TcGe6.

Computed properties:
The formation energy comes out at -0.27 eV per atom. The value obtained for the raw total energy is -5.94 eV/atom. The calculation puts the total moment at 0.00 Bohr magnetons per cell.

a b c (Å): 4.1143 7.7185 6.9744
angles (deg): 123.60 89.99 90.00
Last column: nearest neighbours and their distance in Å.
Fractional positions:
Y 0.5000 0.7530 0.5060  8 Ge 3.04-3.13
Y 0.5000 0.2470 0.4940  8 Ge 3.04-3.13
Tc 0.0000 0.0000 0.0000  8 Ge 2.61-2.78
Ge 0.9999 0.4047 0.2849  3 Ge 2.51-2.65, 1 Tc 2.61
Ge 0.0001 0.1201 0.7152  3 Ge 2.51-2.64, 1 Tc 2.62
Ge 0.0001 0.5953 0.7151  3 Ge 2.51-2.65, 1 Tc 2.61
Ge 0.5000 0.2421 0.9999  4 Ge 2.64-2.65, 2 Tc 2.78
Ge 0.9999 0.8799 0.2848  3 Ge 2.51-2.64, 1 Tc 2.62
Ge 0.5000 0.7579 0.0001  4 Ge 2.64-2.65, 2 Tc 2.78


2.
## HoSi2PtRh2 (PBE-GGA)

Data for an optimized crystal structure of HoSi2PtRh2.

Computed properties:
The value obtained for the uncorrected formation energy is -0.37 eV per atom. The value obtained for the raw total energy is -6.40 eV/atom. The calculation puts the total moment at 0.00 Bohr magnetons per cell.

a b c (Å): 4.5057 4.5057 5.5170
angles (deg): 90.00 90.00 90.00
Last column: nearest neighbours and their distance in Å.
Fractional positions:
Ho 0.0000 0.0000 0.5000  2 Pt 2.76
Si 0.5000 0.0000 0.0000  2 Pt 2.25
Si 0.0000 0.5000 0.0000  2 Pt 2.25
Pt 0.0000 0.0000 0.0000  4 Si 2.25
Rh 0.5000 0.5000 0.7477  4 Si 2.65, 2 Rh 2.73-2.78
Rh 0.5000 0.5000 0.2523  4 Si 2.65, 2 Rh 2.73-2.78